[1]
TmAl2In | PBE-GGA | relaxed

Its density of states at the Fermi level is 7.3 states/eV per cell. As for the total energy: -3.6970 eV/atom. Its total moment is 0.00 μB per formula unit. As for the energy of formation: -0.09 eV/f.u.

It has space group R-3m (No. 166, hexagonal axes), with a = 5.0379 Å, b = 5.0379 Å, c = 11.9984 Å, α = 90.00°, β = 90.00° and γ = 120.00°. The inequivalent atoms are Tm at (0.0000, 0.0000, 0.0000), Al at (0.0000, 0.0000, 0.2527) and In at (0.0000, 0.0000, 0.5000).

[2]
Tm3AlIn | PBE-GGA | relaxed

Its density of states at the Fermi level is 9.6 states/eV per cell. As for the total energy: -4.0976 eV/atom. Its total moment is 0.00 μB per formula unit. The energy above the most stable polymorph in this dataset comes out at 209 meV/atom. As for the energy of formation: -0.59 eV/f.u.

It has space group P6_3/mmc (No. 194), with a = 7.9048 Å, b = 7.9048 Å, c = 5.1451 Å, α = 90.00°, β = 90.00° and γ = 120.00°. The inequivalent atoms are Tm at (0.1918, 0.3835, 0.2500), Al at (0.0000, 0.0000, 0.0000) and In at (0.3333, 0.6667, 0.7500).

Number 1 is which compound?
TmAl2In

Number 1 is which compound?
TmAl2In